(1)
A relaxed structure of Er7TlIn2. Source: Alexandria, functional GGA-PBE.

Lattice parameters (Å, degrees): 7.878 7.878 7.878 60.00 60.00 60.00
Element x y z (fractional)
Er  0.000  0.000  0.000
Er  0.246  0.246  0.754
Er  0.246  0.754  0.246
Er  0.246  0.754  0.754
Er  0.754  0.246  0.246
Er  0.754  0.246  0.754
Er  0.754  0.754  0.246
Tl  0.500  0.500  0.500
In  0.250  0.250  0.250
In  0.750  0.750  0.750

(2)
A relaxed structure of Er5TlIn. Source: Alexandria, functional GGA-PBE.

Lattice parameters (Å, degrees): 7.141 7.141 7.141 131.11 126.70 75.22
Element x y z (fractional)
Er  0.000  0.000  0.000
Er  0.491  0.239  0.748
Er  0.491  0.743  0.252
Er  0.510  0.250  0.260
Er  0.990  0.250  0.740
Tl  0.125  0.625  0.500
In  0.739  0.739  0.000

(3)
A relaxed structure of Er2Tl3In. Source: Alexandria, functional GGA-PBE.

Lattice parameters (Å, degrees): 6.636 6.636 6.636 133.39 122.17 77.33
Element x y z (fractional)
Er  0.175  0.175  0.000
Er  0.825  0.825  0.000
Tl  0.000  0.500  0.500
Tl  0.335  0.835  0.500
Tl  0.665  0.165  0.500
In  0.500  0.500  0.000

(4)
A relaxed structure of Er3Tl5In12. Source: Alexandria, functional GGA-PBE.

Lattice parameters (Å, degrees): 15.417 15.417 15.417 109.47 109.47 109.47
Element x y z (fractional)
Er  0.125  0.250  0.375
Er  0.125  0.375  0.750
Er  0.250  0.375  0.125
Er  0.250  0.875  0.625
Er  0.375  0.125  0.250
Er  0.375  0.750  0.125
Er  0.625  0.250  0.875
Er  0.625  0.875  0.750
Er  0.750  0.125  0.375
Er  0.750  0.625  0.875
Er  0.875  0.625  0.250
Er  0.875  0.750  0.625
Tl  0.000  0.000  0.000
Tl  0.000  0.000  0.500
Tl  0.000  0.500  0.000
Tl  0.000  0.500  0.500
Tl  0.125  0.750  0.875
Tl  0.125  0.875  0.250
Tl  0.250  0.125  0.875
Tl  0.250  0.625  0.375
Tl  0.375  0.250  0.625
Tl  0.375  0.625  0.750
Tl  0.500  0.000  0.000
Tl  0.500  0.000  0.500
Tl  0.500  0.500  0.000
Tl  0.500  0.500  0.500
Tl  0.625  0.375  0.250
Tl  0.625  0.750  0.375
Tl  0.750  0.375  0.625
Tl  0.750  0.875  0.125
Tl  0.875  0.125  0.750
Tl  0.875  0.250  0.125
In  0.069  0.228  0.142
In  0.069  0.340  0.926
In  0.074  0.642  0.414
In  0.074  0.931  0.660
In  0.086  0.728  0.660
In  0.086  0.858  0.426
In  0.142  0.069  0.228
In  0.142  0.574  0.914
In  0.160  0.228  0.586
In  0.160  0.431  0.574
In  0.228  0.142  0.069
In  0.228  0.586  0.160
In  0.272  0.340  0.914
In  0.272  0.431  0.358
In  0.340  0.914  0.272
In  0.340  0.926  0.069
In  0.358  0.272  0.431
In  0.358  0.586  0.926
In  0.414  0.074  0.642
In  0.414  0.840  0.772
In  0.426  0.086  0.858
In  0.426  0.840  0.569
In  0.431  0.358  0.272
In  0.431  0.574  0.160
In  0.569  0.426  0.840
In  0.569  0.642  0.728
In  0.574  0.160  0.431
In  0.574  0.914  0.142
In  0.586  0.160  0.228
In  0.586  0.926  0.358
In  0.642  0.414  0.074
In  0.642  0.728  0.569
In  0.660  0.074  0.931
In  0.660  0.086  0.728
In  0.728  0.569  0.642
In  0.728  0.660  0.086
In  0.772  0.414  0.840
In  0.772  0.858  0.931
In  0.840  0.569  0.426
In  0.840  0.772  0.414
In  0.858  0.426  0.086
In  0.858  0.931  0.772
In  0.914  0.142  0.574
In  0.914  0.272  0.340
In  0.926  0.069  0.340
In  0.926  0.358  0.586
In  0.931  0.660  0.074
In  0.931  0.772  0.858

| no. | energy of formation (meV per atom) |
| --- | --- |
| 1 | 590 |
| 2 | 119 |
| 3 | -51 |
| 4 | 209 |